w:
The following is a DFT calculation (GGA-PBE) of crystalline LaS2I2 at its relaxed geometry.

Cell lengths 8.092, 8.092, 4.528 Å; angles 90.00, 90.00, 90.00 degrees
Fractional coordinates of all 10 atoms:
I  0.362  0.862  0.000
I  0.862  0.638  0.000
I  0.638  0.138  0.000
I  0.138  0.362  0.000
S  0.198  0.698  0.500
S  0.698  0.802  0.500
S  0.802  0.302  0.500
S  0.302  0.198  0.500
La  0.000  0.000  0.000
La  0.500  0.500  0.000

Summary:
The volume comes out at 29.65 A^3/atom. The density of states at the Fermi level comes out at 5.986 states/eV per cell.

=====

x:
The following is a DFT calculation (GGA-PBE) of crystalline LaS2I2 at its relaxed geometry.

Cell lengths 4.566, 5.678, 8.645 Å; angles 70.83, 74.69, 90.00 degrees
Fractional coordinates of all 5 atoms:
La  0.000  0.000  0.000
S  0.284  0.500  0.000
S  0.716  0.500  0.000
I  0.646  0.146  0.707
I  0.354  0.854  0.293

Summary:
The volume comes out at 40.65 A^3/atom. The density of states at the Fermi level comes out at 3.063 states/eV per cell.

=====

y:
The following is a DFT calculation (GGA-PBE) of crystalline LaS2I2 at its relaxed geometry.

Cell lengths 3.706, 3.706, 11.531 Å; angles 80.75, 80.75, 90.00 degrees
Fractional coordinates of all 5 atoms:
I  0.412  0.412  0.177
I  0.588  0.588  0.823
S  0.750  0.250  0.500
S  0.250  0.750  0.500
La  0.000  0.000  0.000

Summary:
The volume comes out at 30.85 A^3/atom. The density of states at the Fermi level comes out at 2.495 states/eV per cell.

=====

Most stable: x (next structure +46.1 kJ/mol of atoms)

=====

w:
The following is a DFT calculation (GGA-PBE) of crystalline LaSI2 at its relaxed geometry.

Cell lengths 4.499, 4.499, 13.202 Å; angles 80.19, 80.19, 90.00 degrees
Fractional coordinates of all 8 atoms:
I  0.629  0.125  0.250
I  0.121  0.625  0.250
I  0.375  0.371  0.750
I  0.875  0.879  0.750
S  0.500  0.500  0.000
S  0.250  0.750  0.500
La  0.000  0.000  0.000
La  0.750  0.250  0.500

Summary:
The volume comes out at 32.42 A^3/atom. The density of states at the Fermi level comes out at 4.563 states/eV per cell.

=====

x:
The following is a DFT calculation (GGA-PBE) of crystalline LaSI2 at its relaxed geometry.

Cell lengths 5.550, 5.550, 5.550 Å; angles 60.00, 60.00, 60.00 degrees
Each line ends with the local moment (μB).
Fractional coordinates of all 4 atoms:
I  0.250  0.250  0.250  0.07
I  0.750  0.750  0.750  0.07
S  0.000  0.000  0.000  0.48
La  0.500  0.500  0.500  0.01

Summary:
The volume comes out at 30.22 A^3/atom. The density of states at the Fermi level comes out at 2.983 states/eV per cell.

=====

Most stable: w (next structure +2.6 kJ/mol of atoms)

=====

w:
The following is a DFT calculation (GGA-PBE) of crystalline La2S2I at its relaxed geometry.

Cell lengths 4.854, 4.854, 7.872 Å; angles 90.00, 90.00, 120.00 degrees
Fractional coordinates of all 5 atoms:
La  0.667  0.333  0.700
La  0.333  0.667  0.300
S  0.667  0.333  0.340
S  0.333  0.667  0.660
I  0.000  0.000  0.000

Summary:
The volume comes out at 32.12 A^3/atom. The density of states at the Fermi level comes out at 3.292 states/eV per cell.

=====

x:
The following is a DFT calculation (GGA-PBE) of crystalline La2S2I at its relaxed geometry.

Cell lengths 4.594, 5.718, 7.800 Å; angles 111.50, 107.12, 90.00 degrees
Fractional coordinates of all 5 atoms:
La  0.688  0.188  0.375
La  0.312  0.812  0.625
S  0.306  0.306  0.612
S  0.694  0.694  0.388
I  0.000  0.000  0.000

Summary:
The volume comes out at 36.16 A^3/atom. The density of states at the Fermi level comes out at 2.221 states/eV per cell.

=====

Most stable: x (next structure +1.5 kJ/mol of atoms)

=====

w:
The following is a DFT calculation (GGA-PBE) of crystalline LaSI3 at its relaxed geometry.

Cell lengths 6.299, 6.299, 6.299 Å; angles 90.00, 90.00, 90.00 degrees
Each line ends with the local moment (μB).
Fractional coordinates of all 5 atoms:
I  0.000  0.500  0.000  0.02
I  0.000  0.000  0.500  0.04
I  0.500  0.000  0.000  0.03
S  0.500  0.500  0.500  1.08
La  0.000  0.000  0.000  0.00

Summary:
The volume comes out at 49.98 A^3/atom. The density of states at the Fermi level comes out at 16.446 states/eV per cell.

=====

x:
The following is a DFT calculation (GGA-PBE) of crystalline LaSI3 at its relaxed geometry.

Cell lengths 5.608, 5.608, 5.608 Å; angles 90.00, 90.00, 90.00 degrees
Each line ends with the local moment (μB).
Fractional coordinates of all 5 atoms:
I  0.000  0.500  0.000  -0.01
I  0.000  0.000  0.500  -0.01
I  0.500  0.000  0.000  -0.01
S  0.000  0.000  0.000  -0.01
La  0.500  0.500  0.500  0.39

Summary:
The volume comes out at 35.27 A^3/atom. The density of states at the Fermi level comes out at 13.706 states/eV per cell.

=====

Most stable: w (next structure +38.6 kJ/mol of atoms)

=====

w:
The following is a DFT calculation (GGA-PBE) of crystalline LaSb2SI at its relaxed geometry.

Cell lengths 5.239, 5.239, 5.574 Å; angles 90.00, 90.00, 90.00 degrees
Fractional coordinates of all 5 atoms:
I  0.000  0.000  0.500
Sb  0.000  0.500  0.000
Sb  0.500  0.000  0.000
S  0.000  0.000  0.000
La  0.500  0.500  0.500

Summary:
The volume comes out at 30.60 A^3/atom. The density of states at the Fermi level comes out at 2.631 states/eV per cell.

=====

x:
The following is a DFT calculation (GGA-PBE) of crystalline LaSb2SI at its relaxed geometry.

Cell lengths 6.252, 6.252, 5.996 Å; angles 90.00, 90.00, 90.00 degrees
Each line ends with the local moment (μB).
Fractional coordinates of all 5 atoms:
I  0.000  0.000  0.500  0.02
Sb  0.000  0.500  0.000  0.13
Sb  0.500  0.000  0.000  0.13
S  0.500  0.500  0.500  0.14
La  0.000  0.000  0.000  0.03

Summary:
The volume comes out at 46.88 A^3/atom. The density of states at the Fermi level comes out at 7.120 states/eV per cell.

=====

Most stable: w (next structure +71.7 kJ/mol of atoms)

=====

w:
The following is a DFT calculation (GGA-PBE) of crystalline LaTe2SI at its relaxed geometry.

Cell lengths 6.288, 6.288, 6.219 Å; angles 90.00, 90.00, 90.00 degrees
Each line ends with the local moment (μB).
Fractional coordinates of all 5 atoms:
I  0.000  0.000  0.500  0.10
S  0.500  0.500  0.500  1.12
Te  0.000  0.500  0.000  0.42
Te  0.500  0.000  0.000  0.42
La  0.000  0.000  0.000  0.01

Summary:
The volume comes out at 49.17 A^3/atom. The density of states at the Fermi level comes out at 7.457 states/eV per cell.

=====

x:
The following is a DFT calculation (GGA-PBE) of crystalline LaTe2SI at its relaxed geometry.

Cell lengths 5.360, 5.360, 5.457 Å; angles 90.00, 90.00, 90.00 degrees
Each line ends with the local moment (μB).
Fractional coordinates of all 5 atoms:
I  0.000  0.000  0.500  0.00
S  0.000  0.000  0.000  0.02
Te  0.000  0.500  0.000  0.01
Te  0.500  0.000  0.000  0.01
La  0.500  0.500  0.500  0.23

Summary:
The volume comes out at 31.36 A^3/atom. The density of states at the Fermi level comes out at 5.327 states/eV per cell.

=====

Most stable: x (next structure +42.8 kJ/mol of atoms)